(1)
KHoMgS3 | GGA-PBE | optimized geometry

abc: 8.5691 4.0879 9.7650
angles: 90.00 107.41 90.00
Space group P2_1/m (No. 11)
Symmetry-distinct sites (fractional):
K  0.2127  0.2500  0.2262 [2 per cell]
Ho  0.3292  0.7500  0.8672 [2 per cell]
Mg  0.0858  0.2500  0.6102 [2 per cell]
S  0.1106  0.2500  0.8603 [2 per cell]
S  0.2037  0.7500  0.5484 [2 per cell]
S  0.4646  0.7500  0.1505 [2 per cell]

Results
As for the uncorrected energy: -4.94 eV per atom.

(2)
KHoMgS3 | GGA-PBE | optimized geometry

abc: 4.0631 14.4069 10.7474
angles: 90.00 90.00 90.00
Space group Cmcm (No. 63)
Symmetry-distinct sites (fractional):
K  0.0000  0.2444  0.2500 [4 per cell]
Ho  0.0000  0.5000  0.0000 [4 per cell]
Mg  0.0000  0.0331  0.7500 [4 per cell]
S  0.0000  0.1196  0.5605 [8 per cell]
S  0.0000  0.4374  0.7500 [4 per cell]

Results
As for the uncorrected energy: -4.94 eV per atom.

(3)
KHoMgTe3 | GGA-PBE | optimized geometry

abc: 9.5783 4.4927 10.7369
angles: 90.00 108.04 90.00
Space group P2_1/m (No. 11)
Symmetry-distinct sites (fractional):
K  0.2147  0.2500  0.2384 [2 per cell]
Ho  0.3278  0.7500  0.8664 [2 per cell]
Mg  0.0844  0.2500  0.6096 [2 per cell]
Te  0.1039  0.2500  0.8700 [2 per cell]
Te  0.2214  0.7500  0.5423 [2 per cell]
Te  0.4635  0.7500  0.1611 [2 per cell]

Results
As for the uncorrected energy: -3.97 eV per atom.

(4)
KHoMo | GGA-PBE | optimized geometry

abc: 7.4528 7.4528 7.4528
angles: 90.00 90.00 90.00
Space group F-43m (No. 216)
Symmetry-distinct sites (fractional):
K  0.0000  0.0000  0.0000 [4 per cell]
Ho  0.0000  0.0000  0.5000 [4 per cell]
Mo  0.2500  0.2500  0.7500 [4 per cell]

Results
As for the uncorrected energy: -3.83 eV per atom.

(5)
KHoNbTe3 | GGA-PBE | optimized geometry

abc: 4.2753 16.3336 11.3342
angles: 90.00 90.00 90.00
Space group Cmcm (No. 63)
Symmetry-distinct sites (fractional):
K  0.0000  0.2496  0.2500 [4 per cell]
Ho  0.0000  0.0000  0.0000 [4 per cell]
Nb  0.0000  0.4674  0.7500 [4 per cell]
Te  0.0000  0.0769  0.7500 [4 per cell]
Te  0.0000  0.3694  0.5539 [8 per cell]

Results
As for the uncorrected energy: -5.00 eV per atom.

(6)
KHoNi | GGA-PBE | optimized geometry

abc: 6.8816 6.8816 6.8816
angles: 90.00 90.00 90.00
Space group F-43m (No. 216)
Symmetry-distinct sites (fractional):
K  0.0000  0.0000  0.0000 [4 per cell]
Ho  0.2500  0.2500  0.7500 [4 per cell]
Ni  0.0000  0.0000  0.5000 [4 per cell]

Results
As for the uncorrected energy: -2.83 eV per atom.

(7)
KHoNiS3 | GGA-PBE | optimized geometry

abc: 8.6250 3.8985 9.1588
angles: 90.00 106.98 90.00
Space group P2_1/m (No. 11)
Symmetry-distinct sites (fractional):
K  0.2043  0.2500  0.2369 [2 per cell]
Ho  0.3274  0.7500  0.8591 [2 per cell]
Ni  0.0773  0.2500  0.5961 [2 per cell]
S  0.1079  0.2500  0.8524 [2 per cell]
S  0.1810  0.7500  0.5404 [2 per cell]
S  0.4604  0.7500  0.1634 [2 per cell]

Results
As for the uncorrected energy: -5.25 eV per atom.

(8)
KHoNiS3 | GGA-PBE | optimized geometry

abc: 10.6837 4.0854 11.8041
angles: 90.00 90.00 90.00
Space group Pnma (No. 62)
Symmetry-distinct sites (fractional):
K  0.1660  0.2500  0.0017 [4 per cell]
Ho  0.0093  0.2500  0.6641 [4 per cell]
Ni  0.2419  0.2500  0.2868 [4 per cell]
S  0.0500  0.7500  0.8145 [4 per cell]
S  0.1152  0.2500  0.4456 [4 per cell]
S  0.2268  0.7500  0.2186 [4 per cell]

Results
As for the uncorrected energy: -5.19 eV per atom.

(9)
KSmHoNi2 | GGA-PBE | optimized geometry

abc: 3.6989 4.0203 18.0516
angles: 90.00 90.00 90.00
Space group Amm2 (No. 38)
Symmetry-distinct sites (fractional):
K  0.0000  0.0000  0.0000 [2 per cell]
Sm  0.5000  0.0000  0.6702 [2 per cell]
Ho  0.5000  0.0000  0.3334 [2 per cell]
Ni  0.0000  0.0000  0.2141 [2 per cell]
Ni  0.0000  0.0000  0.7977 [2 per cell]

Results
As for the uncorrected energy: -4.45 eV per atom.

(10)
KTbHoNi2 | GGA-PBE | optimized geometry

abc: 3.6952 4.0192 17.9217
angles: 90.00 90.00 90.00
Space group Amm2 (No. 38)
Symmetry-distinct sites (fractional):
K  0.0000  0.0000  0.0000 [2 per cell]
Tb  0.5000  0.0000  0.6706 [2 per cell]
Ho  0.5000  0.0000  0.3307 [2 per cell]
Ni  0.0000  0.0000  0.2103 [2 per cell]
Ni  0.0000  0.0000  0.7939 [2 per cell]

Results
As for the uncorrected energy: -4.45 eV per atom.

(11)
KYHoNi2 | GGA-PBE | optimized geometry

abc: 3.6922 4.0292 17.6266
angles: 90.00 90.00 90.00
Space group Amm2 (No. 38)
Symmetry-distinct sites (fractional):
K  0.0000  0.0000  0.0000 [2 per cell]
Y  0.5000  0.0000  0.6692 [2 per cell]
Ho  0.5000  0.0000  0.3318 [2 per cell]
Ni  0.0000  0.0000  0.2105 [2 per cell]
Ni  0.0000  0.0000  0.7959 [2 per cell]

Results
As for the uncorrected energy: -4.81 eV per atom.

(12)
KHoPO | GGA-PBE | optimized geometry

abc: 4.6879 7.6108 6.5473
angles: 90.00 90.00 90.00
Space group Pmc2_1 (No. 26)
Symmetry-distinct sites (fractional):
K  0.0000  0.2256  0.0000 [2 per cell]
Ho  0.5000  0.3623  0.5738 [2 per cell]
P  0.0000  0.1909  0.4866 [2 per cell]
O  0.5000  0.4146  0.8885 [2 per cell]

Results
As for the uncorrected energy: -5.46 eV per atom.

(13)
KHoPO | GGA-PBE | optimized geometry

abc: 3.4175 7.6990 7.5628
angles: 90.00 90.00 90.00
Space group Pmc2_1 (No. 26)
Symmetry-distinct sites (fractional):
K  0.0000  0.0484  0.0000 [2 per cell]
Ho  0.5000  0.3763  0.3604 [2 per cell]
P  0.5000  0.2924  0.7187 [2 per cell]
O  0.0000  0.2436  0.2805 [2 per cell]

Results
As for the uncorrected energy: -5.53 eV per atom.

(14)
KHoP4O12 | GGA-PBE | optimized geometry

abc: 7.7315 12.1562 10.3512
angles: 90.00 111.29 90.00
Space group C2/c (No. 15)
Symmetry-distinct sites (fractional):
K  0.0000  0.1833  0.2500 [4 per cell]
Ho  0.0000  0.1185  0.7500 [4 per cell]
P  0.0420  0.3254  0.9983 [8 per cell]
P  0.2184  0.4772  0.4365 [8 per cell]
O  0.0641  0.2380  0.6011 [8 per cell]
O  0.0637  0.4271  0.9079 [8 per cell]
O  0.0963  0.3686  0.4267 [8 per cell]
O  0.1444  0.0114  0.4184 [8 per cell]
O  0.2168  0.2956  0.1156 [8 per cell]
O  0.2209  0.0249  0.6842 [8 per cell]

Results
As for the uncorrected energy: -7.26 eV per atom.

(15)
KHoPO | GGA-PBE | optimized geometry

abc: 3.9748 3.9748 10.5388
angles: 90.00 90.00 90.00
Space group P4/nmm (No. 129, origin choice 2)
Symmetry-distinct sites (fractional):
K  0.2500  0.7500  0.0000 [2 per cell]
Ho  0.2500  0.2500  0.4006 [2 per cell]
P  0.2500  0.2500  0.7717 [2 per cell]
O  0.2500  0.7500  0.5000 [2 per cell]

Results
As for the uncorrected energy: -5.41 eV per atom.

(16)
KHoPO | GGA-PBE | optimized geometry

abc: 4.0146 4.0146 5.0631
angles: 90.00 90.00 90.00
Space group P4/mmm (No. 123)
Symmetry-distinct sites (fractional):
K  0.0000  0.0000  0.0000 [1 per cell]
Ho  0.5000  0.5000  0.5000 [1 per cell]
P  0.0000  0.0000  0.5000 [1 per cell]
O  0.5000  0.5000  0.0000 [1 per cell]

Results
As for the uncorrected energy: -5.02 eV per atom.

(17)
KHoPO | GGA-PBE | optimized geometry

abc: 5.7027 5.7027 5.0389
angles: 90.00 90.00 90.00
Space group P4/nmm (No. 129, origin choice 2)
Symmetry-distinct sites (fractional):
K  0.2500  0.2500  0.0031 [2 per cell]
Ho  0.2500  0.7500  0.5000 [2 per cell]
P  0.2500  0.2500  0.5033 [2 per cell]
O  0.2500  0.7500  0.0000 [2 per cell]

Results
As for the uncorrected energy: -5.02 eV per atom.

(18)
KHoSO | GGA-PBE | optimized geometry

abc: 9.1546 7.9882 5.4652
angles: 90.00 90.00 90.00
Space group Pbcm (No. 57)
Symmetry-distinct sites (fractional):
K  0.0932  0.1160  0.2500 [4 per cell]
Ho  0.3522  0.5610  0.2500 [4 per cell]
S  0.3836  0.5977  0.7500 [4 per cell]
O  0.1594  0.0499  0.7500 [4 per cell]

Results
As for the uncorrected energy: -5.79 eV per atom.

(19)
KHoSO | GGA-PBE | optimized geometry

abc: 5.6628 5.6630 11.1284
angles: 90.00 104.84 90.00
Space group P2_1 (No. 4)
Symmetry-distinct sites (fractional):
K  0.0546  0.0000  0.1033 [2 per cell]
K  0.4436  0.9954  0.8964 [2 per cell]
Ho  0.0481  0.2427  0.5969 [2 per cell]
Ho  0.4522  0.2424  0.4031 [2 per cell]
S  0.1121  0.4998  0.2123 [2 per cell]
S  0.3890  0.4969  0.7876 [2 per cell]
O  0.2502  0.4916  0.5003 [2 per cell]
O  0.2500  0.9918  0.5000 [2 per cell]

Results
As for the uncorrected energy: -5.99 eV per atom.

(20)
KHoSO | GGA-PBE | optimized geometry

abc: 4.3714 8.0018 6.3967
angles: 90.00 90.00 90.00
Space group Pmc2_1 (No. 26)
Symmetry-distinct sites (fractional):
K  0.0000  0.1946  0.0000 [2 per cell]
Ho  0.5000  0.3713  0.4320 [2 per cell]
S  0.0000  0.2005  0.5113 [2 per cell]
O  0.5000  0.4084  0.1075 [2 per cell]

Results
As for the uncorrected energy: -5.92 eV per atom.

(21)
KHoSO | GGA-PBE | optimized geometry

abc: 4.0269 4.0269 9.7630
angles: 90.00 90.00 90.00
Space group P4/nmm (No. 129, origin choice 2)
Symmetry-distinct sites (fractional):
K  0.2500  0.7500  0.0000 [2 per cell]
Ho  0.2500  0.2500  0.3959 [2 per cell]
S  0.2500  0.2500  0.7746 [2 per cell]
O  0.2500  0.7500  0.5000 [2 per cell]

Results
As for the uncorrected energy: -5.74 eV per atom.

| no. | calculated density (Mg/m³) |
| --- | --- |
| 1 | 3.30 |
| 2 | 3.43 |
| 3 | 4.62 |
| 4 | 4.81 |
| 5 | 5.70 |
| 6 | 5.35 |
| 7 | 4.05 |
| 8 | 4.63 |
| 9 | 5.84 |
| 10 | 5.99 |
| 11 | 5.20 |
| 12 | 3.57 |
| 13 | 4.19 |
| 14 | 3.81 |
| 15 | 5.01 |
| 16 | 5.11 |
| 17 | 5.09 |
| 18 | 4.19 |
| 19 | 4.85 |
| 20 | 3.74 |
| 21 | 5.29 |